Compound: NaLi2TiF6
Source: the Alexandria database
Functional: PBE
Structure: relaxed

a b c (Å): 5.839 5.839 5.839
angles (deg): 60.00 60.00 60.00
Last column: magnetic moment on the atom in μB.
Positions (direct):
F1 0.762 0.762 0.238  0.00
F2 0.762 0.238 0.762  0.00
F3 0.238 0.762 0.762  0.00
F4 0.238 0.762 0.238  0.00
F5 0.238 0.238 0.762  0.00
F6 0.762 0.238 0.238  0.00
Ti1 0.000 0.000 0.000  0.91
Li1 0.250 0.250 0.250  0.00
Li2 0.750 0.750 0.750  0.00
Na1 0.500 0.500 0.500  0.00

M_tot in μB/f.u.: 1.0
Excess energy over the best structure of this formula in the dataset in meV/atom: 265
Raw formation energy in eV per atom: -2.79


Compound: CuPdNO2
Source: the Alexandria database
Functional: PBE
Structure: relaxed

a b c (Å): 3.772 3.772 3.754
angles (deg): 90.00 90.00 90.00
Positions (direct):
Cu1 0.000 0.000 0.000
O1 0.000 0.500 0.000
O2 0.500 0.000 0.000
N1 0.000 0.000 0.500
Pd1 0.500 0.500 0.500

M_tot in μB/f.u.: 0.0
Raw formation energy in eV per atom: 0.94


Compound: CuSi2As
Source: the Alexandria database
Functional: PBE
Structure: relaxed

a b c (Å): 3.570 2.547 6.815
angles (deg): 90.01 90.00 90.00
Positions (direct):
Cu1 0.500 0.750 0.750
Si1 0.000 0.250 0.539
Si2 0.000 0.250 0.961
As1 0.500 0.250 0.250

M_tot in μB/f.u.: 0.0
Excess energy over the best structure of this formula in the dataset in meV/atom: 0
Raw formation energy in eV per atom: 0.21


Asked for total energy across the records above, the calculation gives -5.22; -4.56; -4.69 eV/atom in order.
Asked for DOS(E_F) across the records above, the calculation gives 8.25; 8.18; 1.03 states/eV/cell in order.